[1]
This record from the Alexandria database describes HgSb2Mo after structural relaxation. The functional is PBE. Values from VASP.

Cell and atoms, written as Quantum ESPRESSO input:
```
&SYSTEM
  ibrav = 0, nat = 4, ntyp = 3
/
ATOMIC_SPECIES
Sb 121.76 Sb.upf
Hg 200.59 Hg.upf
Mo 95.94 Mo.upf
ATOMIC_POSITIONS crystal
Sb 0.0197 0.0197 0.0000
Hg 0.7500 0.2500 0.5000
Mo 0.2500 0.7500 0.5000
Sb 0.4803 0.4803 0.0000
CELL_PARAMETERS angstrom
5.6620 0.0605 0.0437
1.9715 5.3080 -0.0437
-3.1786 -3.5916 3.0100
```

Output
Total energy = -0.3162 Ry/atom
Distance to the lowest polymorph of the same formula = 421 meV/atom
Symmetry = Immm
Calculated volume = 89.65 Å³/cell

[2]
This record from the Alexandria database describes HgSb2Mo after structural relaxation. The functional is PBE. Values from VASP.

Cell and atoms, written as Quantum ESPRESSO input:
```
&SYSTEM
  ibrav = 0, nat = 4, ntyp = 3
/
ATOMIC_SPECIES
Sb 121.76 Sb.upf
Hg 200.59 Hg.upf
Mo 95.94 Mo.upf
ATOMIC_POSITIONS crystal
Sb 0.0197 0.0197 0.0197
Hg 0.2500 0.2500 0.2500
Mo 0.7500 0.7500 0.7500
Sb 0.4803 0.4803 0.4803
CELL_PARAMETERS angstrom
-3.9605 -9.7672 1.4749
-1.6930 -10.4685 -0.8960
-0.7696 -10.3561 2.3273
```

Output
Total energy = -0.3472 Ry/atom
Distance to the lowest polymorph of the same formula = 0 meV/atom
Symmetry = R-3m
Calculated volume = 102.00 Å³/cell

[3]
This record from the Alexandria database describes HgSb2Mo after structural relaxation. The functional is PBE. Values from VASP.

Cell and atoms, written as Quantum ESPRESSO input:
```
&SYSTEM
  ibrav = 0, nat = 4, ntyp = 3
/
ATOMIC_SPECIES
Mo 95.94 Mo.upf
Sb 121.76 Sb.upf
Hg 200.59 Hg.upf
ATOMIC_POSITIONS crystal
Mo 0.5000 0.5000 0.7617
Sb 0.0000 0.0000 0.9420
Hg 0.0000 0.0000 0.5386
Sb 0.5000 0.5000 0.2577
CELL_PARAMETERS angstrom
3.2609 0.0000 0.0000
0.0000 3.2609 0.0000
0.0000 0.0000 8.6134
```

Output
Total energy = -0.3255 Ry/atom
Distance to the lowest polymorph of the same formula = 294 meV/atom
Symmetry = P4mm
Calculated volume = 91.59 Å³/cell

[4]
This record from the Alexandria database describes HgSbMo2 after structural relaxation. The functional is PBE. Values from VASP.

Cell and atoms, written as Quantum ESPRESSO input:
```
&SYSTEM
  ibrav = 0, nat = 4, ntyp = 3
/
ATOMIC_SPECIES
Mo 95.94 Mo.upf
Hg 200.59 Hg.upf
Sb 121.76 Sb.upf
ATOMIC_POSITIONS crystal
Mo 0.0000 0.0000 0.0000
Mo 0.2500 0.2500 0.2500
Hg 0.5000 0.5000 0.5000
Sb 0.7500 0.7500 0.7500
CELL_PARAMETERS angstrom
4.7555 0.0000 0.0000
2.3778 4.1184 0.0000
2.3778 1.3728 3.8829
```

Output
Total energy = -0.4245 Ry/atom
Distance to the lowest polymorph of the same formula = 479 meV/atom
Symmetry = F-43m
Calculated volume = 76.05 Å³/cell

[5]
This record from the Alexandria database describes HgSbMo after structural relaxation. The functional is PBE. Values from VASP.

Cell and atoms, written as Quantum ESPRESSO input:
```
&SYSTEM
  ibrav = 0, nat = 3, ntyp = 3
/
ATOMIC_SPECIES
Sb 121.76 Sb.upf
Hg 200.59 Hg.upf
Mo 95.94 Mo.upf
ATOMIC_POSITIONS crystal
Sb 0.0000 0.0000 0.0000
Hg 0.5000 0.5000 0.5000
Mo 0.7500 0.7500 0.7500
CELL_PARAMETERS angstrom
4.6444 0.0000 0.0000
2.3222 4.0222 0.0000
2.3222 1.3407 3.7921
```

Output
Total energy = -0.3294 Ry/atom
Distance to the lowest polymorph of the same formula = 166 meV/atom
Symmetry = F-43m
Calculated volume = 70.84 Å³/cell

[6]
This record from the Alexandria database describes Hg4SbMo after structural relaxation. The functional is PBE. Values from VASP.

Cell and atoms, written as Quantum ESPRESSO input:
```
&SYSTEM
  ibrav = 0, nat = 6, ntyp = 3
/
ATOMIC_SPECIES
Mo 95.94 Mo.upf
Hg 200.59 Hg.upf
Sb 121.76 Sb.upf
ATOMIC_POSITIONS crystal
Mo 0.7500 0.7500 0.7500
Hg 0.3753 0.3753 0.8741
Hg 0.8741 0.3753 0.3753
Hg 0.3753 0.3753 0.3753
Sb 0.0000 0.0000 0.0000
Hg 0.3753 0.8741 0.3753
CELL_PARAMETERS angstrom
5.7471 -1.1321 -0.0379
2.2164 -4.0244 3.6337
1.9678 -5.0936 -2.1202
```

Output
Total energy = -0.1440 Ry/atom
Symmetry = F-43m
Calculated volume = 142.12 Å³/cell

[7]
This record from the Alexandria database describes Hg2SbMo after structural relaxation. The functional is PBE. Values from VASP.

Cell and atoms, written as Quantum ESPRESSO input:
```
&SYSTEM
  ibrav = 0, nat = 4, ntyp = 3
/
ATOMIC_SPECIES
Sb 121.76 Sb.upf
Mo 95.94 Mo.upf
Hg 200.59 Hg.upf
ATOMIC_POSITIONS crystal
Sb 0.7629 0.7629 0.7629
Mo 0.4969 0.4969 0.4969
Hg 0.9987 0.9987 0.9987
Hg 0.2415 0.2415 0.2415
CELL_PARAMETERS angstrom
-1.0925 8.4997 -4.6750
-0.2008 6.5730 -7.2145
-3.3678 6.6914 -6.2592
```

Output
Total energy = -0.2605 Ry/atom
Symmetry = R3m
Calculated volume = 90.83 Å³/cell

[8]
This record from the Alexandria database describes HgSb4Mo after structural relaxation. The functional is PBE. Values from VASP.

Cell and atoms, written as Quantum ESPRESSO input:
```
&SYSTEM
  ibrav = 0, nat = 6, ntyp = 3
/
ATOMIC_SPECIES
Sb 121.76 Sb.upf
Hg 200.59 Hg.upf
Mo 95.94 Mo.upf
ATOMIC_POSITIONS crystal
Sb 0.8709 0.3764 0.3764
Sb 0.3764 0.3764 0.3764
Hg 0.7500 0.7500 0.7500
Sb 0.3764 0.3764 0.8709
Sb 0.3764 0.8709 0.3764
Mo 0.0000 0.0000 0.0000
CELL_PARAMETERS angstrom
0.0000 4.3974 4.3974
4.3974 0.0000 4.3974
4.3974 4.3974 0.0000
```

Output
Total energy = -0.2787 Ry/atom
Symmetry = F-43m
Calculated volume = 170.07 Å³/cell

[9]
This record from the Alexandria database describes Hg2SbMo after structural relaxation. The functional is PBE. Values from VASP.

Cell and atoms, written as Quantum ESPRESSO input:
```
&SYSTEM
  ibrav = 0, nat = 4, ntyp = 3
/
ATOMIC_SPECIES
Hg 200.59 Hg.upf
Sb 121.76 Sb.upf
Mo 95.94 Mo.upf
ATOMIC_POSITIONS crystal
Hg 0.0000 0.0063 0.0039
Sb 0.5000 0.7500 0.7500
Hg 0.0000 0.4937 0.4961
Mo 0.5000 0.2500 0.2500
CELL_PARAMETERS angstrom
-1.8030 0.0918 -5.3928
-2.8787 -0.8870 0.9474
-1.1177 4.6525 0.4529
```

Output
Total energy = -0.2445 Ry/atom
Symmetry = P2/m
Calculated volume = 86.26 Å³/cell

[10]
This record from the Alexandria database describes HgSb2Mo after structural relaxation. The functional is PBE. Values from VASP.

Cell and atoms, written as Quantum ESPRESSO input:
```
&SYSTEM
  ibrav = 0, nat = 4, ntyp = 3
/
ATOMIC_SPECIES
Sb 121.76 Sb.upf
Hg 200.59 Hg.upf
Mo 95.94 Mo.upf
ATOMIC_POSITIONS crystal
Sb 0.0539 0.0539 0.1109
Hg 0.4075 0.4075 0.7167
Sb 0.7016 0.7016 0.4793
Mo 0.3370 0.3370 0.1931
CELL_PARAMETERS angstrom
-3.2793 3.2897 -1.7848
-4.2837 2.0146 1.5340
2.5036 4.7098 2.5673
```

Output
Total energy = -0.3362 Ry/atom
Distance to the lowest polymorph of the same formula = 150 meV/atom
Symmetry = Cm
Calculated volume = 100.56 Å³/cell

[11]
This record from the Alexandria database describes HgSbMo2 after structural relaxation. The functional is PBE. Values from VASP.

Cell and atoms, written as Quantum ESPRESSO input:
```
&SYSTEM
  ibrav = 0, nat = 4, ntyp = 3
/
ATOMIC_SPECIES
Hg 200.59 Hg.upf
Mo 95.94 Mo.upf
Sb 121.76 Sb.upf
ATOMIC_POSITIONS crystal
Hg 0.5000 0.5000 0.7861
Mo 0.5000 0.5000 0.2225
Sb 0.0000 0.0000 0.4596
Mo 0.0000 0.0000 0.0318
CELL_PARAMETERS angstrom
-0.6722 2.1164 1.9731
-2.3663 -1.6252 -0.7638
1.9775 -6.4449 7.5869
```

Output
Total energy = -0.4493 Ry/atom
Distance to the lowest polymorph of the same formula = 140 meV/atom
Symmetry = Cmm2
Calculated volume = 82.83 Å³/cell

[12]
This record from the Alexandria database describes Hg2SbMo after structural relaxation. The functional is PBE. Values from VASP.

Cell and atoms, written as Quantum ESPRESSO input:
```
&SYSTEM
  ibrav = 0, nat = 4, ntyp = 3
/
ATOMIC_SPECIES
Hg 200.59 Hg.upf
Mo 95.94 Mo.upf
Sb 121.76 Sb.upf
ATOMIC_POSITIONS crystal
Hg 0.5000 0.0000 0.5000
Mo 0.0000 0.5000 0.5000
Hg 0.0000 0.0000 0.0000
Sb 0.5000 0.5000 0.0000
CELL_PARAMETERS angstrom
-1.3920 2.7113 -3.5400
-3.5031 -5.0793 0.7188
-2.6857 0.8534 2.0088
```

Output
Total energy = -0.2471 Ry/atom
Symmetry = C2/m
Calculated volume = 87.78 Å³/cell

[13]
This record from the Alexandria database describes Hg2SbMo after structural relaxation. The functional is PBE. Values from VASP.

Cell and atoms, written as Quantum ESPRESSO input:
```
&SYSTEM
  ibrav = 0, nat = 4, ntyp = 3
/
ATOMIC_SPECIES
Sb 121.76 Sb.upf
Hg 200.59 Hg.upf
Mo 95.94 Mo.upf
ATOMIC_POSITIONS crystal
Sb 0.5000 0.5000 0.7500
Hg 0.0000 0.0000 0.0331
Mo 0.5000 0.5000 0.2500
Hg 0.0000 0.0000 0.4669
CELL_PARAMETERS angstrom
3.0188 0.0752 0.0000
0.1364 3.0166 0.0000
0.0000 0.0000 9.6182
```

Output
Total energy = -0.2430 Ry/atom
Symmetry = Cmmm
Calculated volume = 87.49 Å³/cell

[14]
This record from the Alexandria database describes HgSbMo2 after structural relaxation. The functional is PBE. Values from VASP.

Cell and atoms, written as Quantum ESPRESSO input:
```
&SYSTEM
  ibrav = 0, nat = 4, ntyp = 3
/
ATOMIC_SPECIES
Sb 121.76 Sb.upf
Mo 95.94 Mo.upf
Hg 200.59 Hg.upf
ATOMIC_POSITIONS crystal
Sb 0.0000 0.4046 0.4407
Mo 0.5000 0.2491 0.2097
Hg 0.5000 0.8567 0.8014
Mo 0.0000 0.9896 0.0482
CELL_PARAMETERS angstrom
-0.7043 -0.1424 3.1442
2.7664 -1.5520 0.5494
7.8715 4.7801 1.9797
```

Output
Total energy = -0.4597 Ry/atom
Distance to the lowest polymorph of the same formula = 0 meV/atom
Symmetry = Pm
Calculated volume = 84.17 Å³/cell

[15]
This record from the Alexandria database describes HgSbMo2 after structural relaxation. The functional is PBE. Values from VASP.

Cell and atoms, written as Quantum ESPRESSO input:
```
&SYSTEM
  ibrav = 0, nat = 8, ntyp = 3
/
ATOMIC_SPECIES
Sb 121.76 Sb.upf
Hg 200.59 Hg.upf
Mo 95.94 Mo.upf
ATOMIC_POSITIONS crystal
Sb 0.2500 0.7500 0.5000
Hg 0.0000 0.0000 0.0000
Mo 0.8750 0.8614 0.7500
Mo 0.6114 0.1250 0.2500
Hg 0.7500 0.2500 0.5000
Sb 0.5000 0.5000 0.0000
Mo 0.1386 0.6250 0.2500
Mo 0.3750 0.3886 0.7500
CELL_PARAMETERS angstrom
7.5972 0.0000 0.0000
0.0000 7.5972 0.0000
3.7986 3.7986 2.8346
```

Output
Total energy = -0.4109 Ry/atom
Distance to the lowest polymorph of the same formula = 663 meV/atom
Symmetry = I-42d
Calculated volume = 163.61 Å³/cell

Uncorrected formation energy per entry: 0.542; 0.121; 0.415; 0.746; 0.603; 0.735; 0.345; 0.811; 0.563; 0.271; 0.408; 0.527; 0.583; 0.267; 0.931 eV/atom